(1)
Density functional theory data (PBE-GGA) for crystalline TlP2IrCl at its relaxed geometry.

Cell: 5.0651 5.0651 5.0677 Å, 90.00 90.00 90.00°
With the nearest neighbours (Å) after each atom.
Space group P4/mmm (No. 123)
One atom of each set of equivalent atoms:
Tl 0.0000 0.0000 0.0000 x1  4 P 2.53, 2 Cl 2.53
P 0.0000 0.5000 0.0000 x2  2 Tl 2.53
Ir 0.5000 0.5000 0.5000 x1  4 Cl 3.58, 8 P 3.58
Cl 0.0000 0.0000 0.5000 x1  2 Tl 2.53

DFT total energy   -2.94 eV/atom
Crystal system   tetragonal
DOS(E_F)   7.69 states/eV/cell
Polymorph energy (0 for the lowest one)   1756 meV per atom



(2)
Density functional theory data (PBE-GGA) for crystalline TlP2IrCl at its relaxed geometry.

Cell: 4.4422 4.4422 9.1823 Å, 90.00 90.00 90.00°
With the nearest neighbours (Å) after each atom.
Space group P4/mmm (No. 123)
One atom of each set of equivalent atoms:
Tl 0.0000 0.0000 0.0000 x1  4 Cl 3.14
P 0.0000 0.5000 0.5000 x2  2 Ir 2.22
Ir 0.5000 0.5000 0.5000 x1  4 P 2.22
Cl 0.5000 0.5000 0.0000 x1  4 Tl 3.14

DFT total energy   -4.69 eV/atom
Crystal system   tetragonal
DOS(E_F)   2.47 states/eV/cell
Polymorph energy (0 for the lowest one)   0 meV per atom



(3)
Density functional theory data (PBE-GGA) for crystalline P2IrWCl at its relaxed geometry.

Cell: 4.7326 4.7326 4.5212 Å, 90.00 90.00 90.00°
With the nearest neighbours (Å) after each atom.
Space group P4/mmm (No. 123)
One atom of each set of equivalent atoms:
P 0.0000 0.5000 0.0000 x2  2 W 2.37
Ir 0.0000 0.0000 0.5000 x1  8 P 3.27, 4 Cl 3.35
W 0.5000 0.5000 0.0000 x1  2 Cl 2.26, 4 P 2.37
Cl 0.5000 0.5000 0.5000 x1  2 W 2.26

DFT total energy   -5.71 eV/atom
Crystal system   tetragonal
DOS(E_F)   6.39 states/eV/cell
Polymorph energy (0 for the lowest one)   0 meV per atom



(4)
Density functional theory data (PBE-GGA) for crystalline P2IrWCl at its relaxed geometry.

Cell: 4.5789 4.5789 4.7980 Å, 90.00 90.00 90.00°
With the nearest neighbours (Å) after each atom.
Space group P4/mmm (No. 123)
One atom of each set of equivalent atoms:
P 0.0000 0.5000 0.0000 x2  2 Ir 2.29
Ir 0.0000 0.0000 0.0000 x1  4 P 2.29, 2 Cl 2.40
W 0.5000 0.5000 0.5000 x1  4 Cl 3.24, 8 P 3.32
Cl 0.0000 0.0000 0.5000 x1  2 Ir 2.40

DFT total energy   -5.55 eV/atom
Crystal system   tetragonal
DOS(E_F)   5.10 states/eV/cell
Polymorph energy (0 for the lowest one)   155 meV per atom



(5)
Density functional theory data (PBE-GGA) for crystalline YP2IrCl at its relaxed geometry.

Cell: 4.6054 4.6054 4.9920 Å, 90.00 90.00 90.00°
With the nearest neighbours (Å) after each atom.
Space group P4/mmm (No. 123)
One atom of each set of equivalent atoms:
Y 0.0000 0.0000 0.0000 x1  4 Cl 3.26, 8 P 3.40
P 0.0000 0.5000 0.5000 x2  2 Ir 2.30
Ir 0.5000 0.5000 0.5000 x1  4 P 2.30, 2 Cl 2.50
Cl 0.5000 0.5000 0.0000 x1  2 Ir 2.50

DFT total energy   -5.75 eV/atom
Crystal system   tetragonal
DOS(E_F)   4.32 states/eV/cell
Polymorph energy (0 for the lowest one)   0 meV per atom



(6)
Density functional theory data (PBE-GGA) for crystalline YP2IrCl at its relaxed geometry.

Cell: 5.3249 5.3249 4.9531 Å, 90.00 90.00 90.00°
With the nearest neighbours (Å) after each atom.
Space group P4/mmm (No. 123)
One atom of each set of equivalent atoms:
Y 0.0000 0.0000 0.0000 x1  2 Cl 2.48, 4 P 2.66
P 0.0000 0.5000 0.0000 x2  2 Y 2.66
Ir 0.5000 0.5000 0.5000 x1  8 P 3.64, 4 Cl 3.77
Cl 0.0000 0.0000 0.5000 x1  2 Y 2.48

DFT total energy   -4.60 eV/atom
Crystal system   tetragonal
DOS(E_F)   8.54 states/eV/cell
Polymorph energy (0 for the lowest one)   1152 meV per atom



(7)
Density functional theory data (PBE-GGA) for crystalline ZnP2IrCl at its relaxed geometry.

Cell: 4.5551 4.5551 5.2173 Å, 90.00 90.00 90.00°
With the nearest neighbours (Å) after each atom.
Space group P4/mmm (No. 123)
One atom of each set of equivalent atoms:
Zn 0.0000 0.0000 0.0000 x1  4 Cl 3.22, 8 P 3.46
P 0.0000 0.5000 0.5000 x2  2 Ir 2.28
Ir 0.5000 0.5000 0.5000 x1  4 P 2.28
Cl 0.5000 0.5000 0.0000 x1  2 Ir 2.61

DFT total energy   -4.08 eV/atom
Crystal system   tetragonal
DOS(E_F)   3.62 states/eV/cell
Polymorph energy (0 for the lowest one)   0 meV per atom



(8)
Density functional theory data (PBE-GGA) for crystalline ZrPIrCl2 at its relaxed geometry.

Cell: 4.6868 4.6868 4.7347 Å, 90.00 90.00 90.00°
With the nearest neighbours (Å) after each atom.
Space group P4/mmm (No. 123)
One atom of each set of equivalent atoms:
Zr 0.0000 0.0000 0.0000 x1  4 P 3.31, 8 Cl 3.33
P 0.5000 0.5000 0.0000 x1  2 Ir 2.37
Ir 0.5000 0.5000 0.5000 x1  4 Cl 2.34, 2 P 2.37
Cl 0.0000 0.5000 0.5000 x2  2 Ir 2.34

DFT total energy   -4.92 eV/atom
Crystal system   tetragonal
DOS(E_F)   5.57 states/eV/cell
Polymorph energy (0 for the lowest one)   0 meV per atom



(9)
Density functional theory data (PBE-GGA) for crystalline ZrPIrCl2 at its relaxed geometry.

Cell: 4.8470 4.8470 5.3296 Å, 90.00 90.00 90.00°
With the nearest neighbours (Å) after each atom.
Space group P4/mmm (No. 123)
One atom of each set of equivalent atoms:
Zr 0.0000 0.0000 0.0000 x1  4 Cl 2.42, 2 P 2.66
P 0.0000 0.0000 0.5000 x1  2 Zr 2.66
Ir 0.5000 0.5000 0.5000 x1  4 P 3.43, 8 Cl 3.60
Cl 0.0000 0.5000 0.0000 x2  2 Zr 2.42

DFT total energy   -4.86 eV/atom
Crystal system   tetragonal
DOS(E_F)   7.05 states/eV/cell
Polymorph energy (0 for the lowest one)   59 meV per atom



(10)
Density functional theory data (PBE-GGA) for crystalline PaIrCl at its relaxed geometry.

Cell: 11.5034 3.9213 7.5072 Å, 90.00 116.29 90.00°
With the nearest neighbours (Å) after each atom.
Space group C2/m (No. 12)
One atom of each set of equivalent atoms:
Pa 0.2105 0.0000 0.1761 x4  3 Ir 2.65-2.76, 2 Cl 2.86
Ir 0.0869 0.5000 0.9273 x4  3 Pa 2.65-2.76, 1 Ir 2.67
Cl 0.1467 0.0000 0.5305 x4  3 Pa 2.86-3.06, 1 Cl 3.20

DFT total energy   -7.60 eV/atom
Crystal system   monoclinic
DOS(E_F)   10.89 states/eV/cell



(11)
Density functional theory data (PBE-GGA) for crystalline IrPb2Cl at its relaxed geometry.

Cell: 3.4541 4.0759 15.5836 Å, 90.00 90.00 90.00°
With the nearest neighbours (Å) after each atom.
Space group Imm2 (No. 44)
One atom of each set of equivalent atoms:
Ir 0.0000 0.0000 0.0000 x2  6 Pb 2.85-2.86
Pb 0.0000 0.0000 0.4353 x2  4 Ir 2.86
Pb 0.0000 0.5000 0.6456 x2  2 Ir 2.85, 4 Cl 3.06
Cl 0.0000 0.5000 0.2419 x2  4 Pb 3.06

DFT total energy   -4.54 eV/atom
Crystal system   orthorhombic
DOS(E_F)   1.93 states/eV/cell
Polymorph energy (0 for the lowest one)   93 meV per atom



(12)
Density functional theory data (PBE-GGA) for crystalline IrPb3Cl at its relaxed geometry.

Cell: 5.3493 5.3493 5.3493 Å, 90.00 90.00 90.00°
With the nearest neighbours (Å) after each atom.
Space group Pm-3m (No. 221)
One atom of each set of equivalent atoms:
Ir 0.0000 0.0000 0.0000 x1  12 Pb 3.78
Pb 0.0000 0.5000 0.5000 x3  2 Cl 2.67
Cl 0.5000 0.5000 0.5000 x1  6 Pb 2.67

DFT total energy   -3.37 eV/atom
Crystal system   cubic
DOS(E_F)   6.93 states/eV/cell
Polymorph energy (0 for the lowest one)   971 meV per atom



Repeat the sixth record exactly.
Density functional theory data (PBE-GGA) for crystalline YP2IrCl at its relaxed geometry.

Cell: 5.3249 5.3249 4.9531 Å, 90.00 90.00 90.00°
With the nearest neighbours (Å) after each atom.
Space group P4/mmm (No. 123)
One atom of each set of equivalent atoms:
Y 0.0000 0.0000 0.0000 x1  2 Cl 2.48, 4 P 2.66
P 0.0000 0.5000 0.0000 x2  2 Y 2.66
Ir 0.5000 0.5000 0.5000 x1  8 P 3.64, 4 Cl 3.77
Cl 0.0000 0.0000 0.5000 x1  2 Y 2.48

DFT total energy   -4.60 eV/atom
Crystal system   tetragonal
DOS(E_F)   8.54 states/eV/cell
Polymorph energy (0 for the lowest one)   1152 meV per atom